No. 1
The following is a PBE calculation of a geometry-optimized TmThTc structure, from OQMD.

a b c (Å): 4.770 4.770 4.770
angles (deg): 60.00 60.00 60.00
Fractional coordinates of all 3 atoms:
Tc  0.250  0.250  0.250
Tm  0.000  0.000  0.000
Th  0.750  0.750  0.750

## Properties
**Energy above the most stable polymorph in this dataset**: 0 meV per atom
**V**: 77 Å³ per cell
**Spin magnetization**: 0.01 μB/f.u.
**Energy of formation**: 0.821 eV per atom
**DFT total energy**: -6.5951 eV/atom

No. 2
The following is a PBE calculation of a geometry-optimized MgMo2As structure, from OQMD.

a b c (Å): 4.471 4.471 4.471
angles (deg): 60.00 60.00 60.00
Fractional coordinates of all 4 atoms:
Mg  0.250  0.250  0.250
Mo  0.750  0.750  0.750
Mo  0.000  0.000  0.000
As  0.500  0.500  0.500

## Properties
**V**: 63 Å³ per cell
**Spin magnetization**: 0.01 μB/f.u.
**DFT total energy**: -6.7618 eV/atom

No. 3
The following is a PBE calculation of a geometry-optimized Mg3Os structure, from OQMD.

a b c (Å): 5.083 5.765 4.683
angles (deg): 90.00 90.00 90.00
Fractional coordinates of all 8 atoms:
Mg  0.833  0.252  0.500
Mg  0.028  0.500  0.000
Mg  0.500  0.752  0.000
Mg  0.500  0.248  0.000
Mg  0.833  0.748  0.500
Mg  0.305  0.000  0.500
Os  0.341  0.500  0.500
Os  0.993  0.000  0.000

## Properties
**V**: 137 Å³ per cell
**Spin magnetization**: 0.00 μB/f.u.
**DFT total energy**: -3.8534 eV/atom

No. 4
The following is a PBE calculation of a geometry-optimized Gd2HoIn3CuGe2 structure, from OQMD.

a b c (Å): 4.258 7.403 7.403
angles (deg): 119.88 90.00 90.00
Fractional coordinates of all 9 atoms:
In  0.500  0.243  0.000
In  0.500  0.000  0.243
In  0.500  0.758  0.758
Gd  0.000  0.999  0.597
Gd  0.000  0.597  0.999
Ho  0.000  0.402  0.402
Ge  0.500  0.334  0.664
Ge  0.500  0.664  0.334
Cu  0.000  0.004  0.004

## Properties
**V**: 202 Å³ per cell
**Spin magnetization**: 0.02 μB/f.u.
**DFT total energy**: -4.4561 eV/atom

No. 5
The following is a PBE calculation of a geometry-optimized BaY2In3AgAu2 structure, from OQMD.

a b c (Å): 4.021 8.128 8.128
angles (deg): 120.55 90.00 90.00
Fractional coordinates of all 9 atoms:
Ba  0.000  0.411  0.411
Au  0.500  0.324  0.680
Au  0.500  0.680  0.324
Y  0.000  0.593  0.000
Y  0.000  0.000  0.593
In  0.500  0.255  0.992
In  0.500  0.992  0.255
In  0.500  0.751  0.751
Ag  0.000  0.994  0.994

## Properties
**V**: 229 Å³ per cell
**Spin magnetization**: 0.01 μB/f.u.
**DFT total energy**: -4.1598 eV/atom

No. 6
The following is a PBE calculation of a geometry-optimized Na4BiPd2Pb structure, from OQMD.

a b c (Å): 4.939 4.939 6.977
angles (deg): 90.00 90.00 90.00
Fractional coordinates of all 8 atoms:
Bi  0.000  0.000  0.000
Na  0.000  0.500  0.749
Na  0.000  0.000  0.500
Na  0.500  0.500  0.000
Na  0.500  0.000  0.251
Pd  0.000  0.500  0.251
Pd  0.500  0.000  0.749
Pb  0.500  0.500  0.500

## Properties
**V**: 170 Å³ per cell
**DFT total energy**: -3.1481 eV/atom

No. 7
The following is a PBE calculation of a geometry-optimized SrNiBiAu structure, from OQMD.

a b c (Å): 5.092 5.092 5.092
angles (deg): 60.00 60.00 60.00
Fractional coordinates of all 4 atoms:
Sr  0.000  0.000  0.000
Ni  0.500  0.500  0.500
Au  0.750  0.750  0.750
Bi  0.250  0.250  0.250

## Properties
**Energy above the most stable polymorph in this dataset**: 108 meV per atom
**V**: 93 Å³ per cell
**Spin magnetization**: 0.00 μB/f.u.
**DFT total energy**: -3.7069 eV/atom

No. 8
The following is a PBE calculation of a geometry-optimized YHfPd2 structure, from OQMD.

a b c (Å): 4.708 4.708 4.708
angles (deg): 60.00 60.00 60.00
Fractional coordinates of all 4 atoms:
Y  0.750  0.750  0.750
Hf  0.500  0.500  0.500
Pd  0.250  0.250  0.250
Pd  0.000  0.000  0.000

## Properties
**V**: 74 Å³ per cell
**Spin magnetization**: 0.00 μB/f.u.
**Energy of formation**: -0.412 eV per atom
**DFT total energy**: -7.1049 eV/atom